Li2NbCo3O8 | PBE with a Hubbard U | optimized geometry

a b c (Å): 8.2350 8.2350 8.2350
angles (deg): 90.00 90.00 90.00
Sites, in units of the cell vectors:
Li 0.9923 0.9923 0.9923
Li 0.2577 0.2577 0.2577
Li 0.2423 0.7423 0.7577
Li 0.5077 0.0077 0.4923
Li 0.4923 0.5077 0.0077
Li 0.7577 0.2423 0.7423
Li 0.7423 0.7577 0.2423
Li 0.0077 0.4923 0.5077
Nb 0.1250 0.8750 0.3750
Nb 0.3750 0.1250 0.8750
Nb 0.6250 0.6250 0.6250
Nb 0.8750 0.3750 0.1250
Co 0.1223 0.1277 0.6250
Co 0.1250 0.3777 0.8723
Co 0.1277 0.6250 0.1223
Co 0.3723 0.3750 0.6223
Co 0.3750 0.6223 0.3723
Co 0.3777 0.8723 0.1250
Co 0.6223 0.3723 0.3750
Co 0.6250 0.1223 0.1277
Co 0.6277 0.8750 0.8777
Co 0.8723 0.1250 0.3777
Co 0.8750 0.8777 0.6277
Co 0.8777 0.6277 0.8750
O 0.1119 0.1201 0.3882
O 0.1118 0.8881 0.6201
O 0.1087 0.6087 0.8913
O 0.1299 0.1381 0.8618
O 0.1201 0.3882 0.1119
O 0.1413 0.3587 0.6413
O 0.1382 0.6299 0.3619
O 0.1381 0.8618 0.1299
O 0.3619 0.1382 0.6299
O 0.3618 0.3701 0.8619
O 0.3587 0.6413 0.1413
O 0.3799 0.6118 0.6119
O 0.3701 0.8619 0.3618
O 0.3913 0.3913 0.3913
O 0.3882 0.1119 0.1201
O 0.3881 0.8799 0.8882
O 0.6119 0.3799 0.6118
O 0.6118 0.6119 0.3799
O 0.6087 0.8913 0.1087
O 0.6299 0.3619 0.1382
O 0.6201 0.1118 0.8881
O 0.6413 0.1413 0.3587
O 0.6382 0.8701 0.6381
O 0.6381 0.6382 0.8701
O 0.8619 0.3618 0.3701
O 0.8618 0.1299 0.1381
O 0.8587 0.8587 0.8587
O 0.8799 0.8882 0.3881
O 0.8701 0.6381 0.6382
O 0.8913 0.1087 0.6087
O 0.8882 0.3881 0.8799
O 0.8881 0.6201 0.1118

Summary:
**V**: 558.5 Å³/cell
**Electronic total energy**: -6.528 eV/atom
**Density of states at the Fermi level**: 0.00 states/eV/cell